1.
# SnRhAu PBE optimized geometry
# Total magnetization ... 0.000 μB per atom
# Excess energy over the best structure of this formula in the dataset ... 0.0 meV per atom
# Energy of formation from the pure elements ... -0.158 eV per atom
# SG ... F-43m, No. 216
# Calculated total energy ... -5.035 eV per atom
data_SnRhAu
_cell_length_a 4.432
_cell_length_b 4.432
_cell_length_c 4.432
_cell_angle_alpha 60.00
_cell_angle_beta 60.00
_cell_angle_gamma 60.00
_space_group_name_H-M_alt 'P 1'
_space_group_IT_number 1
loop_
_space_group_symop_operation_xyz
'x,y,z'
loop_
_atom_site_label
_atom_site_fract_x
_atom_site_fract_y
_atom_site_fract_z
Rh1 0.250 0.250 0.250
Sn1 0.000 0.000 0.000
Au1 0.500 0.500 0.500

2.
# SnRhAu PBE optimized geometry
# Total magnetization ... 0.000 μB per atom
# Excess energy over the best structure of this formula in the dataset ... 126.6 meV per atom
# Energy of formation from the pure elements ... -0.031 eV per atom
# SG ... I4/mmm, No. 139
# Calculated total energy ... -4.908 eV per atom
data_SnRhAu
_cell_length_a 3.400
_cell_length_b 3.400
_cell_length_c 10.532
_cell_angle_alpha 99.29
_cell_angle_beta 99.29
_cell_angle_gamma 90.00
_space_group_name_H-M_alt 'P 1'
_space_group_IT_number 1
loop_
_space_group_symop_operation_xyz
'x,y,z'
loop_
_atom_site_label
_atom_site_fract_x
_atom_site_fract_y
_atom_site_fract_z
Rh1 0.294 0.294 0.587
Sn1 0.150 0.150 0.300
Rh2 0.706 0.706 0.413
Sn2 0.850 0.850 0.700
Au1 0.565 0.565 0.129
Au2 0.435 0.435 0.871

3.
# SnRh2Au PBE optimized geometry
# Total magnetization ... 0.000 μB per atom
# Energy of formation from the pure elements ... 0.191 eV per atom
# SG ... I-42d, No. 122
# Calculated total energy ... -5.304 eV per atom
data_SnRh2Au
_cell_length_a 3.967
_cell_length_b 3.967
_cell_length_c 9.805
_cell_angle_alpha 78.33
_cell_angle_beta 78.33
_cell_angle_gamma 90.00
_space_group_name_H-M_alt 'P 1'
_space_group_IT_number 1
loop_
_space_group_symop_operation_xyz
'x,y,z'
loop_
_atom_site_label
_atom_site_fract_x
_atom_site_fract_y
_atom_site_fract_z
Au1 0.750 0.250 0.500
Sn1 0.500 0.500 0.000
Rh1 0.644 0.125 0.250
Au2 0.000 0.000 0.000
Sn2 0.250 0.750 0.500
Rh2 0.375 0.356 0.750
Rh3 0.875 0.894 0.750
Rh4 0.106 0.625 0.250

4.
# SnRhAu PBE optimized geometry
# Total magnetization ... 0.000 μB per atom
# Excess energy over the best structure of this formula in the dataset ... 36.0 meV per atom
# Energy of formation from the pure elements ... -0.122 eV per atom
# SG ... P3m1, No. 156
# Calculated total energy ... -4.999 eV per atom
data_SnRhAu
_cell_length_a 3.257
_cell_length_b 4.424
_cell_length_c 4.424
_cell_angle_alpha 120.00
_cell_angle_beta 90.00
_cell_angle_gamma 90.00
_space_group_name_H-M_alt 'P 1'
_space_group_IT_number 1
loop_
_space_group_symop_operation_xyz
'x,y,z'
loop_
_atom_site_label
_atom_site_fract_x
_atom_site_fract_y
_atom_site_fract_z
Rh1 0.415 0.333 0.667
Au1 0.975 0.000 0.000
Sn1 0.610 0.667 0.333

5.
# Sn3RhAu PBE optimized geometry
# Total magnetization ... 0.000 μB per atom
# Excess energy over the best structure of this formula in the dataset ... 0.0 meV per atom
# Energy of formation from the pure elements ... -0.196 eV per atom
# SG ... P2_1/c, No. 14
# Calculated total energy ... -4.724 eV per atom
data_Sn3RhAu
_cell_length_a 6.999
_cell_length_b 7.102
_cell_length_c 9.741
_cell_angle_alpha 90.00
_cell_angle_beta 68.56
_cell_angle_gamma 90.00
_space_group_name_H-M_alt 'P 1'
_space_group_IT_number 1
loop_
_space_group_symop_operation_xyz
'x,y,z'
loop_
_atom_site_label
_atom_site_fract_x
_atom_site_fract_y
_atom_site_fract_z
Sn1 0.745 0.870 0.081
Sn2 0.371 0.167 0.593
Rh1 0.474 0.859 0.724
Rh2 0.974 0.641 0.224
Sn3 0.245 0.630 0.581
Sn4 0.755 0.370 0.419
Sn5 0.629 0.833 0.407
Sn6 0.299 0.464 0.263
Sn7 0.799 0.036 0.763
Sn8 0.701 0.536 0.737
Sn9 0.871 0.333 0.093
Au1 0.938 0.799 0.516
Sn10 0.255 0.130 0.919
Rh3 0.026 0.359 0.776
Au2 0.438 0.701 0.016
Au3 0.062 0.201 0.484
Sn11 0.129 0.667 0.907
Sn12 0.201 0.964 0.237
Rh4 0.526 0.141 0.276
Au4 0.562 0.299 0.984

6.
# SnRh2Au PBE optimized geometry
# Total magnetization ... 0.001 μB per atom
# Energy of formation from the pure elements ... -0.019 eV per atom
# SG ... F-43m, No. 216
# Calculated total energy ... -5.515 eV per atom
data_SnRh2Au
_cell_length_a 4.562
_cell_length_b 4.562
_cell_length_c 4.563
_cell_angle_alpha 60.00
_cell_angle_beta 60.00
_cell_angle_gamma 60.00
_space_group_name_H-M_alt 'P 1'
_space_group_IT_number 1
loop_
_space_group_symop_operation_xyz
'x,y,z'
loop_
_atom_site_label
_atom_site_fract_x
_atom_site_fract_y
_atom_site_fract_z
Au1 0.500 0.500 0.500
Rh1 0.250 0.250 0.250
Sn1 0.750 0.750 0.750
Rh2 0.000 0.000 0.000

What did the sixth record say?
# SnRh2Au PBE optimized geometry
# Total magnetization ... 0.001 μB per atom
# Energy of formation from the pure elements ... -0.019 eV per atom
# SG ... F-43m, No. 216
# Calculated total energy ... -5.515 eV per atom
data_SnRh2Au
_cell_length_a 4.562
_cell_length_b 4.562
_cell_length_c 4.563
_cell_angle_alpha 60.00
_cell_angle_beta 60.00
_cell_angle_gamma 60.00
_space_group_name_H-M_alt 'P 1'
_space_group_IT_number 1
loop_
_space_group_symop_operation_xyz
'x,y,z'
loop_
_atom_site_label
_atom_site_fract_x
_atom_site_fract_y
_atom_site_fract_z
Au1 0.500 0.500 0.500
Rh1 0.250 0.250 0.250
Sn1 0.750 0.750 0.750
Rh2 0.000 0.000 0.000

Question: What is the calculated total energy in the second record?
Answer: -4.908 eV per atom